Record 1
{"formula": "Zn2MoHIr", "functional": "PBE-GGA", "state": "relaxed", "crystal_system": "tetragonal", "spacegroup": "P4/mmm (123)", "energy_ry_per_atom": -0.356, "dos_ef_per_ev_cell": 3.5, "magnetic_moment_mub_per_cell": 0.8, "lattice_angstrom": [[-2.070, -0.903, 3.518], [-1.093, -3.050, -1.426], [3.395, -1.920, 1.505]], "species": ["Mo", "H", "Zn", "Zn", "Ir"], "fractional_positions": [[0.500, 0.500, 0.500], [0.000, 0.000, 0.000], [0.000, 0.000, 0.500], [0.500, 0.000, 0.000], [0.000, 0.500, 0.000]]}

=====

Record 2
{"formula": "Ca2HfP", "functional": "PBE-GGA", "state": "relaxed", "crystal_system": "tetragonal", "spacegroup": "I-42d (122)", "energy_ry_per_atom": -0.361, "dos_ef_per_ev_cell": 11.6, "magnetic_moment_mub_per_cell": 0.0, "e_form_ev_per_atom": -0.0746, "lattice_angstrom": [[9.923, 0.000, 0.000], [0.000, 9.923, 0.000], [4.962, 4.962, 2.516]], "species": ["Ca", "Ca", "Ca", "Ca", "Hf", "Hf", "P", "P"], "fractional_positions": [[0.251, 0.625, 0.250], [0.499, 0.125, 0.250], [0.375, 0.501, 0.750], [0.875, 0.749, 0.750], [0.000, 0.000, 0.000], [0.750, 0.250, 0.500], [0.500, 0.500, 0.000], [0.250, 0.750, 0.500]]}

=====

Record 3
{"formula": "TiMoPt3", "functional": "PBE-GGA", "state": "relaxed", "crystal_system": "cubic", "spacegroup": "Pm-3m (221)", "de_polymorph_kj_per_mol_atoms": 0.0, "energy_ry_per_atom": -0.481, "dos_ef_per_ev_cell": 3.5, "magnetic_moment_mub_per_cell": 3.3, "e_form_ev_per_atom": 0.8238, "lattice_angstrom": [[4.651, 0.000, 0.000], [0.000, 4.651, 0.000], [0.000, 0.000, 4.651]], "species": ["Pt", "Pt", "Pt", "Mo", "Ti"], "fractional_positions": [[0.000, 0.500, 0.000], [0.500, 0.000, 0.000], [0.000, 0.000, 0.500], [0.500, 0.500, 0.500], [0.000, 0.000, 0.000]]}

=====

Record 4
{"formula": "MgGeF", "functional": "PBE-GGA", "state": "relaxed", "crystal_system": "triclinic", "spacegroup": "P1 (1)", "formation_energy_uncorrected_ev_per_atom": -1.5697, "de_polymorph_kj_per_mol_atoms": 7.1, "energy_ry_per_atom": -0.313, "dos_ef_per_ev_cell": 0.5, "magnetic_moment_mub_per_cell": 0.0, "lattice_angstrom": [[-2.930, -0.114, -1.587], [1.777, -1.475, -2.962], [-0.562, -7.030, 3.526]], "species": ["Ge", "Ge", "Mg", "Mg", "F", "F"], "fractional_positions": [[0.593, 0.817, 0.400], [0.038, 0.303, 0.277], [0.473, 0.264, 0.997], [0.147, 0.561, 0.656], [0.677, 0.309, 0.763], [0.277, 0.768, 0.904]]}

=====

Record 5
{"formula": "InBCl4", "functional": "PBE-GGA", "state": "relaxed", "crystal_system": "orthorhombic", "spacegroup": "Pnma (62)", "formation_energy_uncorrected_ev_per_atom": -0.9247, "energy_ry_per_atom": -0.274, "dos_ef_per_ev_cell": 0.0, "magnetic_moment_mub_per_cell": 0.0, "lattice_angstrom": [[6.625, 0.000, 0.000], [0.000, 10.094, 0.000], [0.000, 0.000, 10.962]], "species": ["Cl", "Cl", "Cl", "Cl", "Cl", "Cl", "Cl", "Cl", "Cl", "Cl", "Cl", "Cl", "Cl", "Cl", "Cl", "Cl", "In", "In", "In", "In", "B", "B", "B", "B"], "fractional_positions": [[0.750, 0.090, 0.535], [0.750, 0.106, 0.257], [0.021, 0.689, 0.595], [0.750, 0.394, 0.757], [0.979, 0.311, 0.405], [0.250, 0.910, 0.465], [0.521, 0.311, 0.405], [0.479, 0.689, 0.595], [0.979, 0.189, 0.905], [0.250, 0.590, 0.965], [0.021, 0.811, 0.095], [0.479, 0.811, 0.095], [0.250, 0.894, 0.743], [0.750, 0.410, 0.035], [0.521, 0.189, 0.905], [0.250, 0.606, 0.243], [0.250, 0.317, 0.131], [0.750, 0.817, 0.369], [0.750, 0.683, 0.869], [0.250, 0.183, 0.631], [0.250, 0.705, 0.100], [0.750, 0.295, 0.900], [0.250, 0.795, 0.600], [0.750, 0.205, 0.400]]}

=====

Record 6
{"formula": "RbBe2CrBr", "functional": "PBE-GGA", "state": "relaxed", "crystal_system": "tetragonal", "spacegroup": "P4/mmm (123)", "formation_energy_uncorrected_ev_per_atom": 1.9358, "energy_ry_per_atom": -0.148, "dos_ef_per_ev_cell": 1.6, "magnetic_moment_mub_per_cell": 5.9, "lattice_angstrom": [[-5.382, -0.667, 3.204], [0.137, -6.439, -1.112], [3.270, -0.848, 5.316]], "species": ["Rb", "Be", "Be", "Br", "Cr"], "fractional_positions": [[0.000, 0.000, 0.000], [0.500, 0.000, 0.000], [0.000, 0.000, 0.500], [0.500, 0.500, 0.500], [0.000, 0.500, 0.000]]}

=====

Record 7
{"formula": "EuHo2As", "functional": "PBE-GGA", "state": "relaxed", "crystal_system": "trigonal", "spacegroup": "R-3m (166)", "energy_ry_per_atom": -0.478, "dos_ef_per_ev_cell": 3.9, "magnetic_moment_mub_per_cell": 7.4, "e_form_ev_per_atom": -0.4780, "lattice_angstrom": [[3.862, 0.000, 0.000], [1.931, 3.345, 0.000], [1.931, 1.115, 10.427]], "species": ["Ho", "Ho", "As", "Eu"], "fractional_positions": [[0.887, 0.887, 0.339], [0.113, 0.113, 0.661], [0.500, 0.500, 0.500], [0.000, 0.000, 0.000]]}

=====

Record 8
{"formula": "ScTiNbMo", "functional": "PBE-GGA", "state": "relaxed", "crystal_system": "cubic", "spacegroup": "F-43m (216)", "energy_ry_per_atom": -0.640, "dos_ef_per_ev_cell": 7.1, "magnetic_moment_mub_per_cell": 0.0, "e_form_ev_per_atom": 0.0747, "lattice_angstrom": [[4.662, 0.000, 0.000], [2.331, 4.038, 0.000], [2.331, 1.346, 3.807]], "species": ["Nb", "Ti", "Sc", "Mo"], "fractional_positions": [[0.750, 0.750, 0.750], [0.250, 0.250, 0.250], [0.500, 0.500, 0.500], [0.000, 0.000, 0.000]]}

=====

Record 9
{"formula": "CeGdRh2", "functional": "PBE-GGA", "state": "relaxed", "crystal_system": "tetragonal", "spacegroup": "P4/mmm (123)", "de_polymorph_kj_per_mol_atoms": 0.0, "energy_ry_per_atom": -0.692, "dos_ef_per_ev_cell": 3.7, "magnetic_moment_mub_per_cell": 7.2, "e_form_ev_per_atom": -0.7403, "lattice_angstrom": [[-1.153, -2.020, -2.569], [3.213, -0.203, -1.283], [1.204, -5.667, 3.914]], "species": ["Ce", "Rh", "Rh", "Gd"], "fractional_positions": [[0.500, 0.500, 0.000], [0.000, 0.000, 0.238], [0.000, 0.000, 0.762], [0.500, 0.500, 0.500]]}

=====

Record 10
{"formula": "NaCa2IrPb", "functional": "PBE-GGA", "state": "relaxed", "crystal_system": "tetragonal", "spacegroup": "P4/mmm (123)", "energy_ry_per_atom": -0.278, "dos_ef_per_ev_cell": 2.3, "magnetic_moment_mub_per_cell": 0.0, "e_form_ev_per_atom": -0.2014, "lattice_angstrom": [[-0.609, 5.437, -1.152], [-4.881, -1.078, -2.506], [-2.498, 0.688, 4.570]], "species": ["Na", "Ir", "Ca", "Ca", "Pb"], "fractional_positions": [[0.500, 0.500, 0.500], [0.000, 0.000, 0.000], [0.500, 0.000, 0.000], [0.000, 0.500, 0.000], [0.000, 0.000, 0.500]]}

=====

Record 11
{"formula": "Rb2Nd2NpSe6", "functional": "PBE-GGA", "state": "relaxed", "crystal_system": "monoclinic", "spacegroup": "C2/m (12)", "formation_energy_uncorrected_ev_per_atom": -1.5552, "energy_ry_per_atom": -0.417, "dos_ef_per_ev_cell": 5.0, "magnetic_moment_mub_per_cell": 3.0, "lattice_angstrom": [[7.417, -0.006, 0.060], [-3.671, 6.445, 0.060], [-1.343, -2.308, 8.138]], "species": ["Se", "Se", "Se", "Se", "Se", "Se", "Rb", "Rb", "Nd", "Nd", "Np"], "fractional_positions": [[0.387, 0.065, 0.694], [0.748, 0.748, 0.693], [0.252, 0.252, 0.307], [0.065, 0.387, 0.694], [0.613, 0.935, 0.306], [0.935, 0.613, 0.306], [0.830, 0.170, 0.000], [0.170, 0.830, 0.000], [0.666, 0.334, 0.500], [0.334, 0.666, 0.500], [0.000, 0.000, 0.500]]}

=====

Record 12
{"formula": "NbTl3Ni2Te6", "functional": "PBE-GGA", "state": "relaxed", "crystal_system": "monoclinic", "spacegroup": "C2/m (12)", "formation_energy_uncorrected_ev_per_atom": -0.1606, "energy_ry_per_atom": -0.303, "dos_ef_per_ev_cell": 8.8, "magnetic_moment_mub_per_cell": 1.5, "lattice_angstrom": [[6.968, 0.019, 0.013], [-3.466, 6.045, 0.013], [-1.154, -1.999, 7.943]], "species": ["Te", "Te", "Te", "Te", "Te", "Te", "Ni", "Ni", "Tl", "Tl", "Tl", "Nb"], "fractional_positions": [[0.588, 0.941, 0.820], [0.941, 0.588, 0.820], [0.297, 0.297, 0.827], [0.412, 0.059, 0.180], [0.703, 0.703, 0.173], [0.059, 0.412, 0.180], [0.333, 0.667, 0.000], [0.667, 0.333, 0.000], [0.158, 0.842, 0.500], [0.500, 0.500, 0.500], [0.842, 0.158, 0.500], [0.000, 0.000, 0.000]]}